The following is a PBEsol calculation of a relaxed HgSe2N crystal, from Alexandria via LeMat-Bulk.

Properties
Distance to the lowest polymorph of the same formula: 188 meV/atom
Final energy: -3.322 eV per atom
Total magnetization: 0.00 Bohr magnetons per cell
Formation energy (no corrections): 0.877 eV per atom

Cell and atoms, written as CIF:
```
data_HgSe2N
_chemical_formula_sum 'Hg3 Se6 N3'
_symmetry_space_group_name_H-M 'R -3 m'
_symmetry_Int_Tables_number 166
_symmetry_space_group_name_Hall '-R 3 2"'
_cell_length_a 3.0351
_cell_length_b 3.0351
_cell_length_c 27.2649
_cell_angle_alpha 90.00
_cell_angle_beta 90.00
_cell_angle_gamma 120.00
loop_
_atom_site_label
_atom_site_type_symbol
_atom_site_fract_x
_atom_site_fract_y
_atom_site_fract_z
_atom_site_occupancy
Hg1 Hg 0.0000 0.0000 0.0000 1
Se1 Se 0.0000 0.0000 0.1128 1
N1 N 0.0000 0.0000 0.5000 1
```